No. 1
{"formula": "Ba4HgPt2", "functional": "PBE-GGA", "state": "relaxed", "m_tot_mub_per_fu": 0.00, "n_ef_per_ev_atom": 0.61, "crystal_system": "orthorhombic", "e_tot_ev_per_atom": -3.507, "lattice_angstrom": [[14.201, 0.000, 0.000], [0.000, 4.647, 0.000], [0.000, 0.000, 16.866]], "species": ["Ba", "Ba", "Ba", "Ba", "Ba", "Ba", "Ba", "Ba", "Ba", "Ba", "Ba", "Ba", "Ba", "Ba", "Ba", "Ba", "Hg", "Hg", "Hg", "Hg", "Pt", "Pt", "Pt", "Pt", "Pt", "Pt", "Pt", "Pt"], "fractional_positions": [[0.024, 0.250, 0.213], [0.085, 0.750, 0.425], [0.123, 0.250, 0.972], [0.206, 0.250, 0.660], [0.294, 0.750, 0.160], [0.377, 0.750, 0.472], [0.415, 0.250, 0.925], [0.476, 0.750, 0.713], [0.524, 0.250, 0.287], [0.585, 0.750, 0.075], [0.623, 0.250, 0.528], [0.706, 0.250, 0.840], [0.794, 0.750, 0.340], [0.877, 0.750, 0.028], [0.915, 0.250, 0.575], [0.976, 0.750, 0.787], [0.242, 0.750, 0.832], [0.258, 0.250, 0.332], [0.742, 0.750, 0.668], [0.758, 0.250, 0.168], [0.062, 0.750, 0.613], [0.083, 0.750, 0.097], [0.417, 0.250, 0.597], [0.438, 0.250, 0.113], [0.562, 0.750, 0.887], [0.583, 0.750, 0.403], [0.917, 0.250, 0.903], [0.938, 0.250, 0.387]]}

No. 2
{"formula": "Ag2Br2Cl", "functional": "PBE-GGA", "state": "relaxed", "m_tot_mub_per_fu": 0.00, "e_above_lowest_polymorph_kj_per_mol_atoms": 0.6, "n_ef_per_ev_atom": 0.64, "crystal_system": "triclinic", "e_tot_ev_per_atom": -2.490, "lattice_angstrom": [[4.244, 0.000, 0.000], [2.076, 6.836, 0.000], [2.090, 1.893, 9.876]], "species": ["Ag", "Ag", "Ag", "Ag", "Br", "Br", "Br", "Br", "Cl", "Cl"], "fractional_positions": [[0.155, 0.000, 0.173], [0.177, 0.500, 0.673], [0.823, 0.500, 0.327], [0.845, 0.000, 0.827], [0.110, 0.229, 0.913], [0.252, 0.729, 0.413], [0.748, 0.271, 0.587], [0.890, 0.771, 0.087], [0.328, 0.252, 0.250], [0.672, 0.748, 0.750]]}

No. 3
{"formula": "LaCdB", "functional": "PBE-GGA", "state": "relaxed", "m_tot_mub_per_fu": 0.00, "e_above_lowest_polymorph_kj_per_mol_atoms": 0.0, "n_ef_per_ev_atom": 0.53, "crystal_system": "orthorhombic", "e_tot_ev_per_atom": -4.522, "lattice_angstrom": [[1.930, -10.263, 0.000], [1.930, 10.263, 0.000], [0.000, 0.000, 3.196]], "species": ["La", "La", "Cd", "Cd", "B", "B"], "fractional_positions": [[0.087, 0.913, 0.750], [0.913, 0.087, 0.250], [0.293, 0.707, 0.750], [0.707, 0.293, 0.250], [0.489, 0.511, 0.750], [0.511, 0.489, 0.250]]}

No. 4
{"formula": "Cu2IrBr5", "functional": "PBE-GGA", "state": "relaxed", "m_tot_mub_per_fu": 0.00, "n_ef_per_ev_atom": 0.98, "crystal_system": "triclinic", "e_tot_ev_per_atom": -3.331, "lattice_angstrom": [[5.216, 0.000, 0.000], [2.406, 6.492, 0.000], [2.324, -0.679, 6.819]], "species": ["Cu", "Cu", "Ir", "Br", "Br", "Br", "Br", "Br"], "fractional_positions": [[0.000, 0.000, 0.000], [0.439, 0.368, 0.460], [0.423, 0.410, 0.990], [0.180, 0.630, 0.313], [0.374, 0.719, 0.803], [0.494, 0.093, 0.182], [0.675, 0.188, 0.666], [0.935, 0.369, 0.024]]}

No. 5
{"formula": "AgPd2Au8", "functional": "PBE-GGA", "state": "relaxed", "m_tot_mub_per_fu": 0.00, "e_above_lowest_polymorph_kj_per_mol_atoms": 0.0, "n_ef_per_ev_atom": 0.34, "crystal_system": "monoclinic", "e_tot_ev_per_atom": -3.648, "lattice_angstrom": [[7.451, -2.050, 0.000], [7.451, 2.050, 0.000], [-1.753, 0.000, 6.288]], "species": ["Ag", "Pd", "Pd", "Au", "Au", "Au", "Au", "Au", "Au", "Au", "Au"], "fractional_positions": [[0.000, 0.000, 0.000], [0.273, 0.273, 0.363], [0.727, 0.727, 0.637], [0.094, 0.094, 0.457], [0.183, 0.183, 0.911], [0.361, 0.361, 0.811], [0.453, 0.453, 0.272], [0.547, 0.547, 0.728], [0.639, 0.639, 0.189], [0.817, 0.817, 0.089], [0.906, 0.906, 0.543]]}

No. 6
{"formula": "RbTaSi2Ge", "functional": "PBE-GGA", "state": "relaxed", "m_tot_mub_per_fu": 1.89, "n_ef_per_ev_atom": 1.10, "crystal_system": "tetragonal", "e_tot_ev_per_atom": -4.439, "lattice_angstrom": [[5.092, 0.000, 0.000], [0.000, 5.092, 0.000], [0.000, 0.000, 5.041]], "species": ["Rb", "Ta", "Si", "Si", "Ge"], "fractional_positions": [[0.000, 0.000, 0.000], [0.500, 0.500, 0.000], [0.000, 0.500, 0.500], [0.500, 0.000, 0.500], [0.500, 0.500, 0.500]]}

No. 7
{"formula": "CaLaIr3", "functional": "PBE-GGA", "state": "relaxed", "m_tot_mub_per_fu": 0.00, "e_above_lowest_polymorph_kj_per_mol_atoms": 1.2, "n_ef_per_ev_atom": 0.24, "crystal_system": "cubic", "e_tot_ev_per_atom": -5.594, "lattice_angstrom": [[4.998, 0.000, 0.000], [0.000, 4.998, 0.000], [0.000, 0.000, 4.998]], "species": ["Ca", "La", "Ir", "Ir", "Ir"], "fractional_positions": [[0.000, 0.000, 0.000], [0.500, 0.500, 0.500], [0.000, 0.500, 0.500], [0.500, 0.000, 0.500], [0.500, 0.500, 0.000]]}

No. 8
{"formula": "Ac4BiSb5", "functional": "PBE-GGA", "state": "relaxed", "m_tot_mub_per_fu": 0.00, "e_above_lowest_polymorph_kj_per_mol_atoms": 0.0, "n_ef_per_ev_atom": 0.04, "crystal_system": "trigonal", "e_tot_ev_per_atom": -5.019, "lattice_angstrom": [[2.380, 1.374, 19.328], [-2.380, 1.374, 19.328], [0.000, -2.748, 19.328]], "species": ["Ac", "Ac", "Ac", "Ac", "Bi", "Sb", "Sb", "Sb", "Sb", "Sb"], "fractional_positions": [[0.102, 0.102, 0.102], [0.299, 0.299, 0.299], [0.701, 0.701, 0.701], [0.898, 0.898, 0.898], [0.500, 0.500, 0.500], [0.000, 0.000, 0.000], [0.197, 0.197, 0.197], [0.402, 0.402, 0.402], [0.598, 0.598, 0.598], [0.803, 0.803, 0.803]]}

No. 9
{"formula": "Tm4BeSe3", "functional": "PBE-GGA", "state": "relaxed", "m_tot_mub_per_fu": 0.00, "n_ef_per_ev_atom": 0.35, "crystal_system": "orthorhombic", "e_tot_ev_per_atom": -5.282, "lattice_angstrom": [[4.116, -5.686, 0.000], [4.116, 5.686, 0.000], [0.000, 0.000, 3.896]], "species": ["Tm", "Tm", "Tm", "Tm", "Be", "Se", "Se", "Se"], "fractional_positions": [[0.232, 0.232, 0.500], [0.237, 0.763, 0.000], [0.763, 0.237, 0.000], [0.768, 0.768, 0.500], [0.000, 0.000, 0.000], [0.000, 0.500, 0.500], [0.500, 0.000, 0.500], [0.500, 0.500, 0.000]]}

No. 10
{"formula": "Dy6GaRh5", "functional": "PBE-GGA", "state": "relaxed", "m_tot_mub_per_fu": 0.00, "n_ef_per_ev_atom": 0.52, "crystal_system": "orthorhombic", "e_tot_ev_per_atom": -6.426, "lattice_angstrom": [[-2.437, 3.449, 7.346], [2.437, -3.449, 7.346], [2.437, 3.449, -7.346]], "species": ["Dy", "Dy", "Dy", "Dy", "Dy", "Dy", "Ga", "Rh", "Rh", "Rh", "Rh", "Rh"], "fractional_positions": [[0.077, 0.330, 0.746], [0.241, 0.000, 0.241], [0.416, 0.670, 0.746], [0.584, 0.330, 0.254], [0.759, 0.000, 0.759], [0.923, 0.670, 0.254], [0.500, 0.500, 0.000], [0.000, 0.500, 0.500], [0.168, 0.168, 0.000], [0.335, 0.835, 0.500], [0.665, 0.165, 0.500], [0.832, 0.832, 0.000]]}